Material: ZrCu2TeSeS
Method: DFT, GGA-PBE
State: optimized geometry

Cell lengths 9.964, 9.964, 7.146 Å; angles 98.65, 98.65, 22.93 degrees
Positions (direct):
Cu1 0.457 0.457 0.336
Cu2 0.210 0.210 0.925
Cu3 0.790 0.790 0.075
Se1 0.918 0.918 0.148
Zr1 0.863 0.863 0.457
S1 0.579 0.579 0.360
Zr2 0.137 0.137 0.543
Te1 0.749 0.749 0.714
Te2 0.251 0.251 0.286
Cu4 0.543 0.543 0.664
S2 0.421 0.421 0.640
Se2 0.082 0.082 0.852

Calculated values
**Calculated density**: 5.555 g/cm3
**VASP energy**: -5.181 eV/atom
**Energy above the most stable polymorph in this dataset**: 0 meV/atom